Compound: Zn2CrCl
Source: Alexandria via LeMat-Bulk
Functional: meta-GGA SCAN
Structure: PBEsol geometry

```
Zn2CrCl
1.0
3.578 0.000 0.000
0.000 3.578 0.000
-1.789 -1.789 5.251
Cr Zn Cl
1 2 1
Direct
0.000 0.000 0.000
0.750 0.250 0.500
0.250 0.750 0.500
0.500 0.500 0.000
```

Computed properties:
E_form (uncorrected)	21	meV/atom
theoretical density	5.39	Mg/m³
E_tot	-53.309	eV/cell
energy relative to the lowest polymorph listed for this composition	45	kJ/mol of formula units
SG	I4/mmm (139)